Record 1
Compound: Nd2CuSb4Pd
Source: OQMD
Functional: PBE
Structure: relaxed

Structure (POSCAR):
```
Nd2CuSb4Pd
1.0
4.4209 0.0000 0.0000
0.0000 4.4209 0.0000
0.0000 0.0000 10.0700
Cu Nd Pd Sb
1 2 1 4
Cartesian
0.0000 0.0000 0.0000 Cu
2.2105 0.0000 2.5035 Nd
0.0000 2.2105 7.5665 Nd
2.2105 2.2105 0.0000 Pd
0.0000 2.2105 1.5550 Sb
0.0000 0.0000 5.0350 Sb
2.2105 2.2105 5.0350 Sb
2.2105 0.0000 8.5150 Sb
```

## Properties
- VASP energy (eV per atom) = -5.129

=====

Record 2
Compound: PmSmMgIn
Source: OQMD
Functional: PBE
Structure: relaxed

Structure (POSCAR):
```
PmSmMgIn
1.0
0.0000 3.8361 3.8361
3.8361 0.0000 3.8361
3.8361 3.8361 0.0000
In Mg Pm Sm
1 1 1 1
Cartesian
3.8361 3.8361 3.8361 In
0.0000 0.0000 0.0000 Mg
1.9181 1.9181 1.9181 Pm
5.7542 5.7542 5.7542 Sm
```

## Properties
- VASP energy (eV per atom) = -3.773

=====

Record 3
Compound: HoMg
Source: OQMD
Functional: PBE
Structure: relaxed

Structure (POSCAR):
```
HoMg
1.0
-1.0656 5.8179 -0.9132
-4.6095 -1.5702 -4.6251
-3.8344 -0.0973 3.8545
Ho Mg
4 4
Cartesian
-3.3099 5.0156 -3.1660 Ho
-4.0373 1.6774 -3.9739 Ho
-4.5298 1.1595 -0.6412 Ho
-6.3227 3.6392 -2.3622 Ho
-1.7173 2.5524 -1.6439 Mg
-4.5935 -1.5178 -4.6079 Mg
-3.9735 4.3547 -0.0072 Mg
-6.8497 0.2845 -2.9711 Mg
```

## Properties
- VASP energy (eV per atom) = -3.060

=====

Record 4
Compound: ErScCl6
Source: OQMD
Functional: PBE
Structure: relaxed

Structure (POSCAR):
```
ErScCl6
1.0
3.2917 -5.7195 0.0000
3.2917 5.7195 0.0000
-2.2082 0.0000 6.0309
Cl Er Sc
6 1 1
Cartesian
4.5319 -2.0055 1.4178 Cl
4.3989 2.0860 1.4275 Cl
0.9295 -0.0795 1.4405 Cl
3.4456 -0.0795 4.5904 Cl
-0.0237 2.0860 4.6034 Cl
-0.1567 -2.0055 4.6131 Cl
3.2917 -3.8229 0.0000 Er
3.2917 3.8209 0.0000 Sc
```

## Properties
- VASP energy (eV per atom) = -4.939

=====

Record 5
Compound: GaPt124
Source: OQMD
Functional: PBE
Structure: relaxed

Structure (POSCAR):
```
GaPt124
1.0
-7.8638 3.0638 11.2297
-12.1613 -6.7098 2.1006
-1.1860 -9.2725 10.4855
Ga Pt
1 124
Cartesian
0.0000 0.0000 0.0000 Ga
-1.5548 0.6057 2.2202 Pt
-3.1463 1.2258 4.4930 Pt
-4.7175 1.8380 6.7367 Pt
-6.3091 2.4581 9.0095 Pt
-2.4044 -1.3266 0.4153 Pt
-8.7135 1.1315 9.4248 Pt
-5.5781 -0.1168 4.9119 Pt
-6.4374 -2.0709 3.0866 Pt
-8.0097 -1.4583 5.3319 Pt
-4.8658 -2.6846 0.8405 Pt
-9.5832 -0.8466 7.5771 Pt
-7.2956 -4.0252 1.2602 Pt
-10.4419 -2.7994 5.7532 Pt
-12.0155 -2.1877 7.9984 Pt
-13.5878 -1.5751 10.2437 Pt
-14.4470 -3.5293 8.4185 Pt
-9.7569 -5.3832 1.6853 Pt
-11.3117 -4.7775 3.9056 Pt
-11.1471 -0.2260 9.8281 Pt
-12.8722 -4.1494 6.1634 Pt
-16.0290 -2.9195 10.6714 Pt
-0.2345 -1.8333 2.0731 Pt
-6.5435 0.6248 11.0826 Pt
-9.9914 -7.2165 3.7584 Pt
-7.3897 -1.3481 9.2607 Pt
-10.5265 -0.1260 13.7401 Pt
-9.1149 -5.2716 5.5960 Pt
-15.4085 -2.8196 14.5833 Pt
-13.9659 -7.9481 6.4339 Pt
-17.1227 -6.7181 10.9419 Pt
-9.8199 -2.6990 9.6736 Pt
-11.3938 -2.0857 11.9212 Pt
-10.6793 -4.6535 7.8480 Pt
-13.8258 -3.4276 12.3413 Pt
-13.1134 -5.9965 8.2684 Pt
-14.6860 -5.3838 10.5142 Pt
-6.6777 -3.9273 5.1815 Pt
-4.2397 -2.5822 4.7604 Pt
-5.8162 -1.9680 7.0116 Pt
-12.2528 -4.0414 10.0947 Pt
-8.2469 -3.3132 7.4294 Pt
-3.3826 -0.6294 6.5892 Pt
-5.1015 -4.5387 2.9377 Pt
-8.9613 -0.7482 11.5012 Pt
-11.5386 -6.6096 6.0264 Pt
-16.2545 -4.7722 12.7610 Pt
-6.7691 -1.2482 13.1727 Pt
-10.2085 -9.0702 5.8665 Pt
-16.5021 -6.6182 14.8539 Pt
-10.0569 -4.5535 11.7722 Pt
-10.9169 -6.5094 9.9453 Pt
-12.4906 -5.8963 12.1926 Pt
-8.4838 -5.1670 9.5256 Pt
-11.6303 -3.9411 14.0189 Pt
-13.3498 -7.8518 10.3661 Pt
-2.0474 -3.0959 6.4404 Pt
-3.6197 -2.4834 8.6857 Pt
-2.9071 -5.0511 4.6142 Pt
-6.0525 -3.8256 9.1059 Pt
-5.3387 -6.3926 5.0342 Pt
-6.9117 -5.7798 7.2806 Pt
-7.6232 -3.2119 11.3519 Pt
-9.1971 -2.5987 13.5995 Pt
-9.3427 -7.1226 7.6991 Pt
-14.0632 -5.2835 14.4400 Pt
-11.7768 -8.4656 8.1195 Pt
-14.9233 -7.2397 12.6128 Pt
-0.4745 -3.7099 4.1953 Pt
-5.1920 -1.8720 10.9320 Pt
-7.7701 -7.7352 5.4554 Pt
-4.4775 -4.4410 6.8624 Pt
-16.7336 -8.4775 16.9535 Pt
-0.7115 -5.5626 6.2903 Pt
-3.8578 -4.3367 10.7833 Pt
-5.5772 -8.2472 7.1307 Pt
-6.2877 -5.6789 11.2030 Pt
-9.4343 -4.4530 15.6964 Pt
-7.1479 -7.6351 9.3759 Pt
-11.8684 -5.7959 16.1168 Pt
-12.0140 -10.3199 10.2164 Pt
-13.5879 -9.7067 12.4640 Pt
-5.4300 -3.7253 13.0295 Pt
-7.0023 -3.1127 15.2748 Pt
-8.0086 -9.5897 7.5519 Pt
-14.2994 -7.1388 16.5353 Pt
-10.4402 -10.9313 7.9720 Pt
-15.1586 -9.0930 14.7100 Pt
-7.8613 -5.0668 13.4497 Pt
-9.5808 -8.9774 9.7970 Pt
-12.7273 -7.7515 14.2903 Pt
-8.7205 -7.0223 11.6233 Pt
-10.2942 -6.4091 13.8706 Pt
-11.1542 -8.3650 12.0437 Pt
-4.7090 -6.3003 8.9620 Pt
-11.0026 -3.8483 17.9493 Pt
-14.4419 -11.6704 10.6432 Pt
-4.9565 -8.1464 11.0549 Pt
-9.6725 -6.3090 17.7894 Pt
-12.2498 -12.1703 12.3147 Pt
-5.6672 -5.5793 15.1261 Pt
-8.2457 -11.4437 9.6485 Pt
-12.9642 -9.6053 16.3865 Pt
-8.9583 -8.8772 13.7211 Pt
-14.5334 -8.9912 18.6344 Pt
-15.3949 -10.9505 16.8043 Pt
-16.9713 -10.3363 19.0555 Pt
-6.5251 -7.5348 13.3017 Pt
-8.0977 -6.9221 15.5474 Pt
-7.3852 -9.4910 11.4745 Pt
-10.5318 -8.2650 15.9679 Pt
-9.8173 -10.8328 11.8946 Pt
-11.3912 -10.2196 14.1422 Pt
-4.0884 -6.2004 12.8740 Pt
-7.2452 -4.9705 17.3820 Pt
-5.8026 -10.0990 9.2325 Pt
-12.0962 -7.6469 18.2199 Pt
-10.6846 -12.7925 10.0758 Pt
-13.8214 -11.5704 14.5552 Pt
-0.9515 -7.4392 8.4124 Pt
-2.5062 -6.8335 10.6327 Pt
-3.3559 -8.7659 8.8278 Pt
-5.1820 -9.9990 13.1445 Pt
-8.3389 -8.7691 17.6525 Pt
-10.0640 -12.6926 13.9878 Pt
```

## Properties
- VASP energy (eV per atom) = -6.047

=====

Record 6
Compound: LaCuBAu
Source: OQMD
Functional: PBE
Structure: relaxed

Structure (POSCAR):
```
LaCuBAu
1.0
0.0000 3.3510 3.3510
3.3510 0.0000 3.3510
3.3510 3.3510 0.0000
Au B Cu La
1 1 1 1
Cartesian
5.0265 5.0265 5.0265 Au
0.0000 0.0000 0.0000 B
1.6755 1.6755 1.6755 Cu
3.3510 3.3510 3.3510 La
```

## Properties
- VASP energy (eV per atom) = -4.194
- energy above the lowest structure with this stoichiometry (meV/atom) = 280

=====

Record 7
Compound: RbZnBiS3
Source: OQMD
Functional: PBE
Structure: relaxed

Structure (POSCAR):
```
RbZnBiS3
1.0
2.0419 -7.4270 0.0000
2.0419 7.4270 0.0000
0.0000 0.0000 10.8822
Bi Rb S Zn
2 2 6 2
Cartesian
2.0419 0.0000 0.0000 Bi
2.0419 0.0000 5.4411 Bi
2.0419 -3.8763 2.7205 Rb
2.0419 3.8763 8.1616 Rb
2.0419 5.5997 0.7260 S
2.0419 0.7939 2.7205 S
2.0419 5.5997 4.7151 S
2.0419 -5.5997 6.1671 S
2.0419 -0.7939 8.1616 S
2.0419 -5.5997 10.1562 S
2.0419 6.7978 2.7205 Zn
2.0419 -6.7978 8.1616 Zn
```

## Properties
- VASP energy (eV per atom) = -3.875

=====

Record 8
Compound: ScSnTe2AuS
Source: OQMD
Functional: PBE
Structure: relaxed

Structure (POSCAR):
```
ScSnTe2AuS
1.0
-4.5586 -0.4493 6.0583
1.7718 -2.5427 -6.9341
6.0221 -6.7881 4.0279
Au S Sc Sn Te
2 2 2 2 4
Cartesian
-2.9469 -2.1814 6.8474 Au
6.1823 -7.5986 -3.6953 Au
-0.3722 -3.0328 1.5632 S
3.6076 -6.7472 1.5890 S
-1.3934 -1.4960 -0.4379 Sc
1.6177 -4.8900 1.5761 Sc
1.7074 -3.7205 -2.7049 Sn
1.5280 -6.0595 5.8571 Sn
-3.3462 -1.0740 4.3347 Te
-0.8971 -3.8346 5.9728 Te
4.1325 -5.9454 -2.8206 Te
6.5816 -8.7060 -1.1825 Te
```

## Properties
- VASP energy (eV per atom) = -4.610

=====

Record 9
Compound: BaCdTeO
Source: OQMD
Functional: PBE
Structure: relaxed

Structure (POSCAR):
```
BaCdTeO
1.0
-0.8457 1.9686 -7.4952
2.2839 -3.1572 -1.0869
-11.6031 -8.1110 -0.8212
Ba Cd O Te
4 4 4 4
Cartesian
-2.4709 -1.5477 -4.4608 Ba
-2.6698 -2.9665 -0.7572 Ba
-7.4951 -6.3331 -8.6461 Ba
-7.6939 -7.7519 -4.9425 Ba
0.8383 -2.4924 -2.2913 Cd
-3.9585 -4.5657 -6.3484 Cd
-6.2063 -4.7339 -3.0549 Cd
-11.0032 -6.8072 -7.1120 Cd
-1.2283 -1.4008 -2.2762 O
-4.2811 -2.2550 -6.2100 O
-5.8838 -7.0446 -3.1934 O
-8.9365 -7.8988 -7.1271 O
-0.1614 -1.5891 -7.0158 Te
-3.1718 -4.9733 -3.5112 Te
-6.9931 -4.3263 -5.8921 Te
-10.0035 -7.7105 -2.3875 Te
```

## Properties
- VASP energy (eV per atom) = -3.970

=====

Record 10
Compound: TmAgSO
Source: OQMD
Functional: PBE
Structure: relaxed

Structure (POSCAR):
```
TmAgSO
1.0
-2.3915 3.3923 -0.2428
-2.1058 -1.9068 -5.8999
-4.6874 -3.1129 2.6791
Ag O S Tm
2 2 2 2
Cartesian
-0.9809 -0.7925 -1.4114 Ag
-4.2612 -3.1971 -2.6959 Ag
-2.3442 0.8773 -0.2499 O
-6.3283 -2.1646 -3.5064 O
-2.2508 -1.8282 -3.3733 S
-3.9376 -2.7898 -0.1931 S
-3.0802 0.0187 -4.9964 Tm
-4.0008 -0.2491 0.3305 Tm
```

## Properties
- VASP energy (eV per atom) = -5.758

=====

Record 11
Compound: HoPdW
Source: OQMD
Functional: PBE
Structure: relaxed

Structure (POSCAR):
```
HoPdW
1.0
0.0000 3.2058 3.2058
3.2058 0.0000 3.2058
3.2058 3.2058 0.0000
Ho Pd W
1 1 1
Cartesian
1.6029 1.6029 1.6029 Ho
0.0000 0.0000 0.0000 Pd
4.8086 4.8086 4.8086 W
```

## Properties
- ΔE_f (eV per atom) = 0.58
- VASP energy (eV per atom) = -6.992
- energy above the lowest structure with this stoichiometry (meV/atom) = 0

=====

Record 12
Compound: Gd2DyEr3Te2Os
Source: OQMD
Functional: PBE
Structure: relaxed

Structure (POSCAR):
```
Gd2DyEr3Te2Os
1.0
4.0288 0.0000 0.0000
0.0000 7.1903 4.1613
0.0000 -7.1903 4.1613
Dy Er Gd Os Te
1 3 2 1 2
Cartesian
2.0144 0.0000 2.0151 Dy
0.0000 2.7954 1.6199 Er
0.0000 -2.7954 1.6199 Er
0.0000 0.0000 5.0770 Er
2.0144 5.4429 3.1509 Gd
2.0144 -5.4429 3.1509 Gd
0.0000 0.0000 0.0210 Os
2.0144 2.3877 4.1567 Te
2.0144 -2.3877 4.1567 Te
```

## Properties
- VASP energy (eV per atom) = -5.693